A PBEsol-optimized structure of OsO3F2, computed with SCAN.

Unit cell a=5.5265 b=5.0126 c=12.2970 alpha=90.00 beta=99.40 gamma=90.00
Fractional coordinates of all 24 atoms:
Os 0.1961 0.2137 0.3618
Os 0.1961 0.2863 0.8618
Os 0.8039 0.7137 0.1383
Os 0.8039 0.7863 0.6382
O 0.2517 0.0942 0.9775
O 0.2517 0.4058 0.4775
O 0.3358 0.5796 0.9049
O 0.3358 0.9204 0.4049
O 0.3922 0.1551 0.7820
O 0.3922 0.3449 0.2820
O 0.6078 0.6551 0.7180
O 0.6078 0.8449 0.2180
O 0.6642 0.0796 0.5951
O 0.6642 0.4204 0.0951
O 0.7483 0.5942 0.5225
O 0.7483 0.9058 0.0225
F 0.0423 0.0284 0.2116
F 0.0423 0.4716 0.7116
F 0.1218 0.6110 0.1140
F 0.1218 0.8890 0.6140
F 0.8782 0.1110 0.3860
F 0.8782 0.3890 0.8860
F 0.9577 0.5284 0.2884
F 0.9577 0.9716 0.7884

**Uncorrected formation energy**: -1.200 eV/atom
**Space group**: P2_1/c
**N(E_F)**: 0.0 states/eV/f.u.
**DFT total energy**: -17.48 eV/atom